An optimized crystal structure of Nd4SiH, computed with PBE.

## Properties
Space group: P2_1/m (11)
D(E_F), states/eV/atom: 1.243
E, eV per atom: -4.928

Cell lengths 5.994, 7.354, 9.587 Å; angles 90.00, 90.00, 127.51 degrees
Fractional positions:
1 Nd 0.007 0.730 0.456
2 Si 0.995 0.590 0.750
3 Nd 0.007 0.730 0.044
4 Nd 0.993 0.270 0.956
5 Si 0.005 0.410 0.250
6 H 0.992 0.106 0.750
7 Nd 0.409 0.264 0.250
8 Nd 0.602 0.859 0.250
9 H 0.008 0.894 0.250
10 Nd 0.993 0.270 0.544
11 Nd 0.591 0.736 0.750
12 Nd 0.398 0.141 0.750

***

An optimized crystal structure of SbRuSe, computed with PBE.

## Properties
Space group: P2_1/c (14)
E, eV per atom: -6.034

Cell lengths 6.367, 6.433, 6.473 Å; angles 66.88, 90.00, 90.00 degrees
Fractional positions:
1 Se 0.366 0.651 0.181
2 Ru 0.006 0.712 0.300
3 Ru 0.994 0.288 0.700
4 Sb 0.136 0.145 0.123
5 Se 0.866 0.349 0.319
6 Ru 0.494 0.712 0.800
7 Sb 0.864 0.855 0.877
8 Se 0.634 0.349 0.819
9 Se 0.134 0.651 0.681
10 Sb 0.636 0.855 0.377
11 Ru 0.506 0.288 0.200
12 Sb 0.364 0.145 0.623

***

An optimized crystal structure of Ti2Be3Cu, computed with PBE.

## Properties
Space group: R-3m (166)
D(E_F), states/eV/atom: 0.712
E, eV per atom: -5.361
Formation energy, kJ/mol of formula units: -106

Cell lengths 4.634, 4.634, 4.623 Å; angles 90.01, 120.09, 119.98 degrees
Fractional positions:
1 Cu 0.000 0.000 0.000
2 Ti 0.753 0.377 0.130
3 Be 0.500 0.000 0.500
4 Be 0.500 0.500 0.500
5 Ti 0.247 0.623 0.870
6 Be 0.000 0.000 0.500

***

An optimized crystal structure of Re3Au, computed with PBE.

## Properties
Space group: Pm-3m (221)
D(E_F), states/eV/atom: 0.844
E, eV per atom: -9.774
Formation energy, kJ/mol of formula units: 147

Cell lengths 3.944, 3.944, 3.944 Å; angles 90.00, 90.00, 90.00 degrees
Fractional positions:
1 Re 0.500 0.500 0.000
2 Au 0.000 0.000 0.000
3 Re 0.000 0.500 0.500
4 Re 0.500 0.000 0.500

***

An optimized crystal structure of LaAlSi2, computed with PBE.

## Properties
Space group: Pnma (62)
D(E_F), states/eV/atom: 0.424
E, eV per atom: -5.352

Cell lengths 4.183, 11.194, 13.908 Å; angles 90.00, 90.00, 90.00 degrees
Fractional positions:
1 Al 0.750 0.337 0.193
2 Al 0.250 0.837 0.307
3 Al 0.750 0.554 0.940
4 La 0.750 0.258 0.445
5 Si 0.750 0.555 0.127
6 Al 0.750 0.163 0.693
7 La 0.250 0.963 0.801
8 Si 0.250 0.445 0.873
9 Si 0.250 0.274 0.610
10 Al 0.250 0.446 0.060
11 Si 0.250 0.042 0.023
12 Si 0.750 0.744 0.718
13 Si 0.750 0.958 0.977
14 La 0.750 0.242 0.945
15 Al 0.250 0.663 0.807
16 Si 0.250 0.256 0.282
17 Si 0.750 0.774 0.890
18 Al 0.250 0.054 0.560
19 Si 0.750 0.945 0.627
20 Si 0.250 0.244 0.782
21 La 0.250 0.758 0.055
22 Si 0.750 0.756 0.218
23 Si 0.250 0.226 0.110
24 La 0.250 0.537 0.301
25 Si 0.750 0.542 0.477
26 Si 0.250 0.055 0.373
27 Si 0.250 0.458 0.523
28 Al 0.750 0.946 0.440
29 La 0.750 0.037 0.199
30 Si 0.750 0.726 0.390
31 La 0.250 0.742 0.555
32 La 0.750 0.463 0.699

***

An optimized crystal structure of Hg2Sb3, computed with PBE.

## Properties
Space group: R-3m (166)
D(E_F), states/eV/atom: 0.677
E, eV per atom: -2.480

Cell lengths 9.419, 9.419, 9.419 Å; angles 26.22, 26.22, 26.22 degrees
Fractional positions:
1 Sb 0.802 0.802 0.802
2 Sb 0.198 0.198 0.198
3 Hg 0.604 0.604 0.604
4 Hg 0.396 0.396 0.396
5 Sb 0.000 0.000 0.000

***

An optimized crystal structure of Ba2NaLiAu, computed with PBE.

## Properties
Space group: P4/mmm (123)
D(E_F), states/eV/atom: 0.648
E, eV per atom: -2.262
Formation energy, kJ/mol of formula units: -92

Cell lengths 6.381, 6.381, 5.690 Å; angles 90.00, 90.00, 90.00 degrees
Fractional positions:
1 Ba 0.500 0.000 0.000
2 Au 0.000 0.000 0.000
3 Ba 0.000 0.500 0.000
4 Na 0.000 0.000 0.500
5 Li 0.500 0.500 0.500

***

An optimized crystal structure of Rb2NaF3, computed with PBE.

## Properties
Space group: Cmcm (63)
D(E_F), states/eV/atom: 0.000
E, eV per atom: -4.090

Cell lengths 3.623, 6.649, 10.099 Å; angles 90.00, 100.33, 90.00 degrees
Fractional positions:
1 F 0.584 0.504 0.169
2 F 0.221 0.250 0.443
3 F 0.416 0.496 0.831
4 Na 0.658 0.250 0.316
5 F 0.584 0.996 0.169
6 Na 0.342 0.750 0.684
7 Rb 0.170 0.750 0.341
8 Rb 0.994 0.750 0.988
9 F 0.416 0.004 0.831
10 Rb 0.830 0.250 0.659
11 F 0.779 0.750 0.557
12 Rb 0.006 0.250 0.012